# NdDy4Al2

A geometry-optimized NdDy4Al2 structure (GGA-PBE, the Alexandria database).

## Properties
Its total magnetization is 0.0 μB/f.u. As for the space group: R-3m. For the energy relative to the lowest polymorph listed for this composition, the calculation gives 0 meV/atom. The total energy comes out at -4.582 eV/atom. Its formation enthalpy at 0 K is -0.202 eV per atom.

Unit cell a=8.426 b=8.426 c=8.426 alpha=36.82 beta=36.82 gamma=36.82
Element x y z (fractional)
Nd: 0.000 0.000 0.000
Dy: 0.154 0.154 0.154
Dy: 0.419 0.419 0.419
Dy: 0.581 0.581 0.581
Dy: 0.846 0.846 0.846
Al: 0.282 0.282 0.282
Al: 0.718 0.718 0.718

***

# Nd4Dy5Al

A geometry-optimized Nd4Dy5Al structure (GGA-PBE, the Alexandria database).

## Properties
Its total magnetization is 0.0 μB/f.u. As for the space group: P4/mmm. For the energy relative to the lowest polymorph listed for this composition, the calculation gives 0 meV/atom. The total energy comes out at -4.646 eV/atom. Its formation enthalpy at 0 K is -0.063 eV per atom.

Unit cell a=3.598 b=3.598 c=24.277 alpha=90.00 beta=90.00 gamma=90.00
Element x y z (fractional)
Nd: 0.000 0.000 0.105
Nd: 0.000 0.000 0.317
Nd: 0.000 0.000 0.683
Nd: 0.000 0.000 0.895
Dy: 0.500 0.500 0.000
Dy: 0.500 0.500 0.211
Dy: 0.500 0.500 0.424
Dy: 0.500 0.500 0.576
Dy: 0.500 0.500 0.789
Al: 0.000 0.000 0.500

***

# Nd4Dy2Al

A geometry-optimized Nd4Dy2Al structure (GGA-PBE, the Alexandria database).

## Properties
Its total magnetization is 0.0 μB/f.u. As for the space group: R-3m. The total energy comes out at -4.588 eV/atom. Its formation enthalpy at 0 K is -0.014 eV per atom.

Unit cell a=19.610 b=19.610 c=19.610 alpha=10.74 beta=10.74 gamma=10.74
Element x y z (fractional)
Nd: 0.093 0.093 0.093
Nd: 0.294 0.294 0.294
Nd: 0.706 0.706 0.706
Nd: 0.907 0.907 0.907
Dy: 0.191 0.191 0.191
Dy: 0.809 0.809 0.809
Al: 0.000 0.000 0.000

***

# Nd3DyAl8

A geometry-optimized Nd3DyAl8 structure (GGA-PBE, the Alexandria database).

## Properties
Its total magnetization is 0.0 μB/f.u. As for the space group: R3m. For the energy relative to the lowest polymorph listed for this composition, the calculation gives 0 meV/atom. The total energy comes out at -4.570 eV/atom. Its formation enthalpy at 0 K is -0.500 eV per atom.

Unit cell a=9.818 b=9.818 c=9.818 alpha=33.45 beta=33.45 gamma=33.45
Element x y z (fractional)
Nd: 0.000 0.000 0.000
Nd: 0.125 0.125 0.125
Nd: 0.625 0.625 0.625
Dy: 0.501 0.501 0.501
Al: 0.062 0.062 0.561
Al: 0.062 0.561 0.062
Al: 0.064 0.563 0.563
Al: 0.312 0.312 0.312
Al: 0.561 0.062 0.062
Al: 0.563 0.064 0.563
Al: 0.563 0.563 0.064
Al: 0.813 0.813 0.813

***

# NdDyAl2

A geometry-optimized NdDyAl2 structure (GGA-PBE, the Alexandria database).

## Properties
Its total magnetization is 0.0 μB/f.u. As for the space group: P4/mmm. The total energy comes out at -4.593 eV/atom. Its formation enthalpy at 0 K is -0.379 eV per atom.

Unit cell a=3.667 b=3.667 c=7.306 alpha=90.00 beta=90.00 gamma=90.00
Element x y z (fractional)
Nd: 0.000 0.000 0.000
Dy: 0.000 0.000 0.500
Al: 0.500 0.500 0.265
Al: 0.500 0.500 0.735

***

# Nd2DyAl

A geometry-optimized Nd2DyAl structure (GGA-PBE, the Alexandria database).

## Properties
Its total magnetization is 0.0 μB/f.u. As for the space group: P4/mmm. For the energy relative to the lowest polymorph listed for this composition, the calculation gives 40 meV/atom. The total energy comes out at -4.608 eV/atom. Its formation enthalpy at 0 K is -0.138 eV per atom.

Unit cell a=3.581 b=3.581 c=9.287 alpha=90.00 beta=90.00 gamma=90.00
Element x y z (fractional)
Nd: 0.000 0.000 0.216
Nd: 0.000 0.000 0.784
Dy: 0.500 0.500 0.500
Al: 0.500 0.500 0.000

***

# Nd6Dy2Al

A geometry-optimized Nd6Dy2Al structure (GGA-PBE, the Alexandria database).

## Properties
Its total magnetization is 0.0 μB/f.u. As for the space group: Pnnm. The total energy comes out at -4.629 eV/atom. Its formation enthalpy at 0 K is -0.012 eV per atom.

Unit cell a=10.369 b=10.378 c=5.466 alpha=90.00 beta=90.00 gamma=90.00
Element x y z (fractional)
Nd: 0.040 0.188 0.000
Nd: 0.123 0.622 0.500
Nd: 0.188 0.958 0.500
Nd: 0.312 0.458 0.000
Nd: 0.377 0.122 0.000
Nd: 0.460 0.688 0.500
Nd: 0.540 0.312 0.500
Nd: 0.623 0.878 0.000
Nd: 0.688 0.542 0.000
Nd: 0.812 0.042 0.500
Nd: 0.877 0.378 0.500
Nd: 0.960 0.812 0.000
Dy: 0.215 0.284 0.500
Dy: 0.285 0.784 0.000
Dy: 0.715 0.216 0.000
Dy: 0.785 0.716 0.500
Al: 0.000 0.500 0.000
Al: 0.500 0.000 0.500

***

# NdDy2Al3

A geometry-optimized NdDy2Al3 structure (GGA-PBE, the Alexandria database).

## Properties
Its total magnetization is 0.0 μB/f.u. As for the space group: P4/mmm. The total energy comes out at -4.584 eV/atom. Its formation enthalpy at 0 K is -0.384 eV per atom.

Unit cell a=3.626 b=3.626 c=11.019 alpha=90.00 beta=90.00 gamma=90.00
Element x y z (fractional)
Nd: 0.000 0.000 0.000
Dy: 0.000 0.000 0.338
Dy: 0.000 0.000 0.662
Al: 0.500 0.500 0.178
Al: 0.500 0.500 0.500
Al: 0.500 0.500 0.822

***

# Nd2DyAl

A geometry-optimized Nd2DyAl structure (GGA-PBE, the Alexandria database).

## Properties
Its total magnetization is 0.0 μB/f.u. As for the space group: Amm2. For the energy relative to the lowest polymorph listed for this composition, the calculation gives 0 meV/atom. The total energy comes out at -4.648 eV/atom. Its formation enthalpy at 0 K is -0.178 eV per atom.

Unit cell a=5.358 b=7.014 c=12.209 alpha=90.00 beta=90.00 gamma=90.00
Element x y z (fractional)
Nd: 0.000 0.000 0.000
Nd: 0.000 0.233 0.234
Nd: 0.000 0.267 0.734
Nd: 0.000 0.500 0.500
Nd: 0.000 0.733 0.734
Nd: 0.000 0.767 0.234
Nd: 0.500 0.000 0.645
Nd: 0.500 0.500 0.145
Dy: 0.500 0.234 0.410
Dy: 0.500 0.266 0.910
Dy: 0.500 0.734 0.910
Dy: 0.500 0.766 0.410
Al: 0.000 0.000 0.485
Al: 0.000 0.500 0.985
Al: 0.500 0.000 0.156
Al: 0.500 0.500 0.656

***

# Nd4Dy5Al

A geometry-optimized Nd4Dy5Al structure (GGA-PBE, the Alexandria database).

## Properties
Its total magnetization is 0.0 μB/f.u. As for the space group: I4mm. For the energy relative to the lowest polymorph listed for this composition, the calculation gives 139 meV/atom. The total energy comes out at -4.507 eV/atom. Its formation enthalpy at 0 K is 0.076 eV per atom.

Unit cell a=8.108 b=8.108 c=8.108 alpha=97.17 beta=97.17 gamma=138.63
Element x y z (fractional)
Nd: 0.000 0.310 0.310
Nd: 0.000 0.690 0.690
Nd: 0.310 0.000 0.310
Nd: 0.690 0.000 0.690
Dy: 0.311 0.311 0.637
Dy: 0.311 0.674 0.000
Dy: 0.674 0.311 0.000
Dy: 0.674 0.674 0.363
Dy: 0.803 0.803 0.000
Al: 0.287 0.287 0.000

***

# Nd12DyAl6

A geometry-optimized Nd12DyAl6 structure (GGA-PBE, the Alexandria database).

## Properties
Its total magnetization is 0.0 μB/f.u. As for the space group: R-3. The total energy comes out at -4.565 eV/atom. Its formation enthalpy at 0 K is -0.129 eV per atom.

Unit cell a=8.169 b=8.169 c=8.169 alpha=88.20 beta=88.20 gamma=88.20
Element x y z (fractional)
Nd: 0.025 0.929 0.311
Nd: 0.071 0.689 0.975
Nd: 0.113 0.459 0.345
Nd: 0.311 0.025 0.929
Nd: 0.345 0.113 0.459
Nd: 0.459 0.345 0.113
Nd: 0.541 0.655 0.887
Nd: 0.655 0.887 0.541
Nd: 0.689 0.975 0.071
Nd: 0.887 0.541 0.655
Nd: 0.929 0.311 0.025
Nd: 0.975 0.071 0.689
Dy: 0.500 0.500 0.500
Al: 0.238 0.387 0.760
Al: 0.240 0.762 0.613
Al: 0.387 0.760 0.238
Al: 0.613 0.240 0.762
Al: 0.760 0.238 0.387
Al: 0.762 0.613 0.240

***

# Nd4Dy3Al4

A geometry-optimized Nd4Dy3Al4 structure (GGA-PBE, the Alexandria database).

## Properties
Its total magnetization is 0.0 μB/f.u. As for the space group: Immm. The total energy comes out at -4.572 eV/atom. Its formation enthalpy at 0 K is -0.222 eV per atom.

Unit cell a=10.647 b=10.647 c=10.647 alpha=160.83 beta=128.56 gamma=55.39
Element x y z (fractional)
Nd: 0.012 0.835 0.176
Nd: 0.341 0.165 0.176
Nd: 0.659 0.835 0.824
Nd: 0.988 0.165 0.824
Dy: 0.000 0.500 0.500
Dy: 0.407 0.407 0.000
Dy: 0.593 0.593 0.000
Al: 0.277 0.777 0.500
Al: 0.279 0.000 0.279
Al: 0.721 0.000 0.721
Al: 0.723 0.223 0.500

***

# Nd3DyAl8

A geometry-optimized Nd3DyAl8 structure (GGA-PBE, the Alexandria database).

## Properties
Its total magnetization is 0.0 μB/f.u. As for the space group: P3m1. For the energy relative to the lowest polymorph listed for this composition, the calculation gives 10 meV/atom. The total energy comes out at -4.560 eV/atom. Its formation enthalpy at 0 K is -0.489 eV per atom.

Unit cell a=5.645 b=5.645 c=9.301 alpha=90.00 beta=90.00 gamma=120.00
Element x y z (fractional)
Nd: 0.000 0.000 0.000
Nd: 0.000 0.000 0.364
Nd: 0.333 0.667 0.863
Dy: 0.333 0.667 0.499
Al: 0.009 0.505 0.183
Al: 0.325 0.162 0.678
Al: 0.495 0.505 0.183
Al: 0.495 0.991 0.183
Al: 0.667 0.333 0.432
Al: 0.667 0.333 0.929
Al: 0.838 0.162 0.678
Al: 0.838 0.675 0.678

***

# Nd4DyAl

A geometry-optimized Nd4DyAl structure (GGA-PBE, the Alexandria database).

## Properties
Its total magnetization is 0.0 μB/f.u. As for the space group: P-1. For the energy relative to the lowest polymorph listed for this composition, the calculation gives 0 meV/atom. The total energy comes out at -4.666 eV/atom. Its formation enthalpy at 0 K is -0.096 eV per atom.

Unit cell a=6.335 b=8.493 c=8.561 alpha=105.63 beta=105.66 gamma=110.40
Element x y z (fractional)
Nd: 0.175 0.404 0.205
Nd: 0.214 0.229 0.551
Nd: 0.244 0.841 0.245
Nd: 0.269 0.078 0.922
Nd: 0.731 0.922 0.078
Nd: 0.756 0.159 0.755
Nd: 0.786 0.771 0.449
Nd: 0.825 0.596 0.795
Dy: 0.300 0.694 0.628
Dy: 0.700 0.306 0.372
Al: 0.300 0.519 0.914
Al: 0.700 0.481 0.086

***

# NdDy3Al8

A geometry-optimized NdDy3Al8 structure (GGA-PBE, the Alexandria database).

## Properties
Its total magnetization is 0.0 μB/f.u. As for the space group: P3m1. For the energy relative to the lowest polymorph listed for this composition, the calculation gives 9 meV/atom. The total energy comes out at -4.544 eV/atom. Its formation enthalpy at 0 K is -0.501 eV per atom.

Unit cell a=5.582 b=5.582 c=9.181 alpha=90.00 beta=90.00 gamma=120.00
Element x y z (fractional)
Nd: 0.000 0.000 0.000
Dy: 0.000 0.000 0.364
Dy: 0.667 0.333 0.499
Dy: 0.667 0.333 0.863
Al: 0.162 0.324 0.680
Al: 0.162 0.838 0.680
Al: 0.333 0.667 0.433
Al: 0.333 0.667 0.931
Al: 0.505 0.009 0.185
Al: 0.505 0.495 0.185
Al: 0.676 0.838 0.680
Al: 0.991 0.495 0.185

***

# NdDy3Al4

A geometry-optimized NdDy3Al4 structure (GGA-PBE, the Alexandria database).

## Properties
Its total magnetization is 0.0 μB/f.u. As for the space group: Pmma. The total energy comes out at -4.576 eV/atom. Its formation enthalpy at 0 K is -0.382 eV per atom.

Unit cell a=10.256 b=7.294 c=5.128 alpha=90.00 beta=90.00 gamma=90.00
Element x y z (fractional)
Nd: 0.000 0.000 0.000
Nd: 0.500 0.000 0.000
Dy: 0.000 0.500 0.000
Dy: 0.250 0.000 0.499
Dy: 0.250 0.500 0.499
Dy: 0.500 0.500 0.000
Dy: 0.750 0.000 0.501
Dy: 0.750 0.500 0.501
Al: 0.000 0.257 0.500
Al: 0.000 0.743 0.500
Al: 0.250 0.257 0.999
Al: 0.250 0.743 0.999
Al: 0.500 0.257 0.500
Al: 0.500 0.743 0.500
Al: 0.750 0.257 0.001
Al: 0.750 0.743 0.001

***

# Nd5DyAl2

A geometry-optimized Nd5DyAl2 structure (GGA-PBE, the Alexandria database).

## Properties
Its total magnetization is 0.0 μB/f.u. As for the space group: P6_3/mmc. The total energy comes out at -4.518 eV/atom. Its formation enthalpy at 0 K is -0.027 eV per atom.

Unit cell a=5.436 b=5.436 c=20.089 alpha=90.00 beta=90.00 gamma=120.00
Element x y z (fractional)
Nd: 0.000 0.000 0.155
Nd: 0.000 0.000 0.345
Nd: 0.000 0.000 0.655
Nd: 0.000 0.000 0.845
Nd: 0.333 0.667 0.055
Nd: 0.333 0.667 0.250
Nd: 0.333 0.667 0.445
Nd: 0.667 0.333 0.555
Nd: 0.667 0.333 0.750
Nd: 0.667 0.333 0.945
Dy: 0.333 0.667 0.750
Dy: 0.667 0.333 0.250
Al: 0.333 0.667 0.601
Al: 0.333 0.667 0.899
Al: 0.667 0.333 0.101
Al: 0.667 0.333 0.399

***

# Nd4Dy9Al11

A geometry-optimized Nd4Dy9Al11 structure (GGA-PBE, the Alexandria database).

## Properties
Its total magnetization is 0.0 μB/f.u. As for the space group: Cmmm. The total energy comes out at -4.552 eV/atom. Its formation enthalpy at 0 K is -0.316 eV per atom.

Unit cell a=13.701 b=13.701 c=3.381 alpha=90.00 beta=90.00 gamma=110.99
Element x y z (fractional)
Nd: 0.098 0.262 0.000
Nd: 0.262 0.098 0.000
Nd: 0.738 0.902 0.000
Nd: 0.902 0.738 0.000
Dy: 0.000 0.000 0.000
Dy: 0.110 0.666 0.000
Dy: 0.296 0.494 0.000
Dy: 0.334 0.890 0.000
Dy: 0.494 0.296 0.000
Dy: 0.506 0.704 0.000
Dy: 0.666 0.110 0.000
Dy: 0.704 0.506 0.000
Dy: 0.890 0.334 0.000
Al: 0.088 0.465 0.500
Al: 0.121 0.879 0.500
Al: 0.309 0.691 0.500
Al: 0.311 0.311 0.500
Al: 0.465 0.088 0.500
Al: 0.500 0.500 0.500
Al: 0.535 0.912 0.500
Al: 0.689 0.689 0.500
Al: 0.691 0.309 0.500
Al: 0.879 0.121 0.500
Al: 0.912 0.535 0.500

***

# Nd6Dy12Al

A geometry-optimized Nd6Dy12Al structure (GGA-PBE, the Alexandria database).

## Properties
Its total magnetization is 0.0 μB/f.u. As for the space group: R-3. The total energy comes out at -4.521 eV/atom. Its formation enthalpy at 0 K is 0.088 eV per atom.

Unit cell a=8.491 b=8.491 c=8.491 alpha=89.07 beta=89.07 gamma=89.07
Element x y z (fractional)
Nd: 0.200 0.592 0.759
Nd: 0.241 0.800 0.408
Nd: 0.408 0.241 0.800
Nd: 0.592 0.759 0.200
Nd: 0.759 0.200 0.592
Nd: 0.800 0.408 0.241
Dy: 0.037 0.279 0.937
Dy: 0.063 0.963 0.721
Dy: 0.143 0.316 0.485
Dy: 0.279 0.937 0.037
Dy: 0.316 0.485 0.143
Dy: 0.485 0.143 0.316
Dy: 0.515 0.857 0.684
Dy: 0.684 0.515 0.857
Dy: 0.721 0.063 0.963
Dy: 0.857 0.684 0.515
Dy: 0.937 0.037 0.279
Dy: 0.963 0.721 0.063
Al: 0.500 0.500 0.500

***

# Nd5DyAl3

A geometry-optimized Nd5DyAl3 structure (GGA-PBE, the Alexandria database).

## Properties
Its total magnetization is 0.0 μB/f.u. As for the space group: Cmcm. The total energy comes out at -4.638 eV/atom. Its formation enthalpy at 0 K is -0.231 eV per atom.

Unit cell a=9.299 b=9.299 c=6.837 alpha=90.00 beta=90.00 gamma=60.00
Element x y z (fractional)
Nd: 0.164 0.500 0.250
Nd: 0.164 0.836 0.750
Nd: 0.166 0.166 0.000
Nd: 0.166 0.166 0.500
Nd: 0.500 0.164 0.750
Nd: 0.500 0.836 0.250
Nd: 0.834 0.834 0.000
Nd: 0.834 0.834 0.500
Nd: 0.836 0.164 0.250
Nd: 0.836 0.500 0.750
Dy: 0.500 0.500 0.000
Dy: 0.500 0.500 0.500
Al: 0.174 0.500 0.750
Al: 0.174 0.826 0.250
Al: 0.500 0.174 0.250
Al: 0.500 0.826 0.750
Al: 0.826 0.174 0.750
Al: 0.826 0.500 0.250